Th2ZnRh | GGA-PBE | relaxed

Structure (CIF):
```
data_Th2ZnRh
_chemical_formula_sum 'Th6 Zn3 Rh3'
_space_group_name_H-M_alt 'R -3 m'
_space_group_IT_number 166
_space_group_name_Hall '-R 3 2"'
_cell_length_a 3.4010
_cell_length_b 3.4010
_cell_length_c 30.3648
_cell_angle_alpha 90.00
_cell_angle_beta 90.00
_cell_angle_gamma 120.00
loop_
_atom_site_label
_atom_site_type_symbol
_atom_site_fract_x
_atom_site_fract_y
_atom_site_fract_z
Th1 Th 0.0000 0.0000 0.0848
Zn1 Zn 0.0000 0.0000 0.5000
Rh1 Rh 0.0000 0.0000 0.0000
```

Results
Magnetization   0.00 μB per cell
Energy of formation   0.09 eV per atom
D(E_F)   4.193 states/eV/f.u.
DFT total energy   -5.77 eV/atom


Th3Zn2Rh6 | GGA-PBE | relaxed

Structure (CIF):
```
data_Th3Zn2Rh6
_chemical_formula_sum 'Th12 Zn8 Rh24'
_space_group_name_H-M_alt 'I m -3 m'
_space_group_IT_number 229
_space_group_name_Hall '-I 4 2 3'
_cell_length_a 9.513
_cell_length_b 9.513
_cell_length_c 9.513
_cell_angle_alpha 90.00
_cell_angle_beta 90.00
_cell_angle_gamma 90.00
loop_
_atom_site_label
_atom_site_type_symbol
_atom_site_fract_x
_atom_site_fract_y
_atom_site_fract_z
Th1 Th 0.000 0.000 0.297
Zn1 Zn 0.250 0.250 0.250
Rh1 Rh 0.000 0.348 0.348
```

Results
Magnetization   0.00 μB per cell
Energy of formation   -0.69 eV per atom
D(E_F)   4.933 states/eV/f.u.
DFT total energy   -6.95 eV/atom


Th2Zn5Rh4 | GGA-PBE | relaxed

Structure (CIF):
```
data_Th2Zn5Rh4
_chemical_formula_sum 'Th8 Zn20 Rh16'
_space_group_name_H-M_alt 'F m m m'
_space_group_IT_number 69
_space_group_name_Hall '-F 2 2'
_cell_length_a 5.139
_cell_length_b 9.287
_cell_length_c 16.839
_cell_angle_alpha 90.00
_cell_angle_beta 90.00
_cell_angle_gamma 90.00
loop_
_atom_site_label
_atom_site_type_symbol
_atom_site_fract_x
_atom_site_fract_y
_atom_site_fract_z
Th1 Th 0.000 0.000 0.140
Zn1 Zn 0.000 0.000 0.500
Zn2 Zn 0.250 0.250 0.000
Zn3 Zn 0.250 0.250 0.250
Rh1 Rh 0.000 0.156 0.372
```

Results
Magnetization   0.00 μB per cell
Energy of formation   -0.53 eV per atom
D(E_F)   7.304 states/eV/f.u.
DFT total energy   -5.13 eV/atom


Th2ZnRh | GGA-PBE | relaxed

Structure (CIF):
```
data_Th2ZnRh
_chemical_formula_sum 'Th2 Zn1 Rh1'
_space_group_name_H-M_alt 'P 4/m m m'
_space_group_IT_number 123
_space_group_name_Hall '-P 4 2'
_cell_length_a 3.683
_cell_length_b 3.683
_cell_length_c 6.996
_cell_angle_alpha 90.00
_cell_angle_beta 90.00
_cell_angle_gamma 90.00
loop_
_atom_site_label
_atom_site_type_symbol
_atom_site_fract_x
_atom_site_fract_y
_atom_site_fract_z
Th1 Th 0.000 0.000 0.236
Zn1 Zn 0.500 0.500 0.500
Rh1 Rh 0.500 0.500 0.000
```

Results
Magnetization   0.00 μB per cell
Energy of formation   -0.46 eV per atom
D(E_F)   3.158 states/eV/f.u.
DFT total energy   -6.32 eV/atom


Th3Zn2Rh5 | GGA-PBE | relaxed

Structure (CIF):
```
data_Th3Zn2Rh5
_chemical_formula_sum 'Th6 Zn4 Rh10'
_space_group_name_H-M_alt 'P 4/m b m'
_space_group_IT_number 127
_space_group_name_Hall '-P 4 2ab'
_cell_length_a 10.098
_cell_length_b 10.098
_cell_length_c 3.761
_cell_angle_alpha 90.00
_cell_angle_beta 90.00
_cell_angle_gamma 90.00
loop_
_atom_site_label
_atom_site_type_symbol
_atom_site_fract_x
_atom_site_fract_y
_atom_site_fract_z
Th1 Th 0.000 0.000 0.000
Th2 Th 0.172 0.328 0.000
Zn1 Zn 0.122 0.622 0.000
Rh1 Rh 0.000 0.500 0.500
Rh2 Rh 0.075 0.790 0.500
```

Results
Magnetization   0.00 μB per cell
Energy of formation   -0.73 eV per atom
D(E_F)   4.392 states/eV/f.u.
DFT total energy   -6.89 eV/atom


Th3ZnRh5 | GGA-PBE | relaxed

Structure (CIF):
```
data_Th3ZnRh5
_chemical_formula_sum 'Th6 Zn2 Rh10'
_space_group_name_H-M_alt 'P 63/m c m'
_space_group_IT_number 193
_space_group_name_Hall '-P 6c 2'
_cell_length_a 8.4501
_cell_length_b 8.4501
_cell_length_c 5.7732
_cell_angle_alpha 90.00
_cell_angle_beta 90.00
_cell_angle_gamma 120.00
loop_
_atom_site_label
_atom_site_type_symbol
_atom_site_fract_x
_atom_site_fract_y
_atom_site_fract_z
Th1 Th 0.0000 0.3606 0.2500
Zn1 Zn 0.0000 0.0000 0.0000
Rh1 Rh 0.0000 0.2951 0.7500
Rh2 Rh 0.3333 0.6667 0.0000
```

Results
Magnetization   0.00 μB per cell
Energy of formation   -0.74 eV per atom
D(E_F)   5.516 states/eV/f.u.
DFT total energy   -7.44 eV/atom


Th4Zn6Rh7 | GGA-PBE | relaxed

Structure (CIF):
```
data_Th4Zn6Rh7
_chemical_formula_sum 'Th8 Zn12 Rh14'
_space_group_name_H-M_alt 'I m -3 m'
_space_group_IT_number 229
_space_group_name_Hall '-I 4 2 3'
_cell_length_a 8.539
_cell_length_b 8.539
_cell_length_c 8.539
_cell_angle_alpha 90.00
_cell_angle_beta 90.00
_cell_angle_gamma 90.00
loop_
_atom_site_label
_atom_site_type_symbol
_atom_site_fract_x
_atom_site_fract_y
_atom_site_fract_z
Th1 Th 0.250 0.250 0.250
Zn1 Zn 0.000 0.000 0.314
Rh1 Rh 0.000 0.000 0.000
Rh2 Rh 0.000 0.250 0.500
```

Results
Magnetization   0.00 μB per cell
Energy of formation   -0.63 eV per atom
D(E_F)   8.321 states/eV/f.u.
DFT total energy   -5.86 eV/atom


ThZn9Rh2 | GGA-PBE | relaxed

Structure (CIF):
```
data_ThZn9Rh2
_chemical_formula_sum 'Th3 Zn27 Rh6'
_space_group_name_H-M_alt 'R -3 m'
_space_group_IT_number 166
_space_group_name_Hall '-R 3 2"'
_cell_length_a 5.1806
_cell_length_b 5.1806
_cell_length_c 24.3782
_cell_angle_alpha 90.00
_cell_angle_beta 90.00
_cell_angle_gamma 120.00
loop_
_atom_site_label
_atom_site_type_symbol
_atom_site_fract_x
_atom_site_fract_y
_atom_site_fract_z
Th1 Th 0.0000 0.0000 0.0000
Zn1 Zn 0.0000 0.0000 0.3340
Zn2 Zn 0.0000 0.0000 0.5000
Zn3 Zn 0.0113 0.5057 0.9092
Rh1 Rh 0.0000 0.0000 0.1345
```

Results
Magnetization   0.00 μB per cell
Energy of formation   -0.20 eV per atom
D(E_F)   4.276 states/eV/f.u.
DFT total energy   -3.00 eV/atom


ThZn4Rh2 | GGA-PBE | relaxed

Structure (CIF):
```
data_ThZn4Rh2
_chemical_formula_sum 'Th2 Zn8 Rh4'
_space_group_name_H-M_alt 'P 42/m n m'
_space_group_IT_number 136
_space_group_name_Hall '-P 4n 2n'
_cell_length_a 7.758
_cell_length_b 7.758
_cell_length_c 4.025
_cell_angle_alpha 90.00
_cell_angle_beta 90.00
_cell_angle_gamma 90.00
loop_
_atom_site_label
_atom_site_type_symbol
_atom_site_fract_x
_atom_site_fract_y
_atom_site_fract_z
Th1 Th 0.000 0.000 0.000
Zn1 Zn 0.099 0.353 0.500
Rh1 Rh 0.190 0.810 0.500
```

Results
Magnetization   0.00 μB per cell
Energy of formation   -0.53 eV per atom
D(E_F)   4.657 states/eV/f.u.
DFT total energy   -4.42 eV/atom


ThZn3Rh | GGA-PBE | relaxed

Structure (CIF):
```
data_ThZn3Rh
_chemical_formula_sum 'Th4 Zn12 Rh4'
_space_group_name_H-M_alt 'I -4 m 2'
_space_group_IT_number 119
_space_group_name_Hall 'I -4 -2'
_cell_length_a 5.177
_cell_length_b 5.177
_cell_length_c 17.077
_cell_angle_alpha 90.00
_cell_angle_beta 90.00
_cell_angle_gamma 90.00
loop_
_atom_site_label
_atom_site_type_symbol
_atom_site_fract_x
_atom_site_fract_y
_atom_site_fract_z
Th1 Th 0.000 0.000 0.186
Zn1 Zn 0.000 0.240 0.623
Zn2 Zn 0.000 0.500 0.028
Rh1 Rh 0.000 0.000 0.500
Rh2 Rh 0.000 0.500 0.750
```

Results
Magnetization   0.00 μB per cell
Energy of formation   -0.09 eV per atom
D(E_F)   3.441 states/eV/f.u.
DFT total energy   -3.81 eV/atom


Th2Zn16Rh | GGA-PBE | relaxed

Structure (CIF):
```
data_Th2Zn16Rh
_chemical_formula_sum 'Th6 Zn48 Rh3'
_space_group_name_H-M_alt 'R 3 m'
_space_group_IT_number 160
_space_group_name_Hall 'R 3 -2"'
_cell_length_a 9.0552
_cell_length_b 9.0552
_cell_length_c 13.2062
_cell_angle_alpha 90.00
_cell_angle_beta 90.00
_cell_angle_gamma 120.00
loop_
_atom_site_label
_atom_site_type_symbol
_atom_site_fract_x
_atom_site_fract_y
_atom_site_fract_z
Th1 Th 0.0000 0.0000 0.0000
Th2 Th 0.0000 0.0000 0.3288
Zn1 Zn 0.0000 0.0000 0.5702
Zn2 Zn 0.9998 0.2850 0.6716
Zn3 Zn 0.0093 0.5046 0.8204
Zn4 Zn 0.1681 0.3362 0.5040
Zn5 Zn 0.1687 0.3374 0.8497
Rh1 Rh 0.0000 0.0000 0.7766
```

Results
Magnetization   0.00 μB per cell
Energy of formation   -0.27 eV per atom
D(E_F)   5.789 states/eV/f.u.
DFT total energy   -2.51 eV/atom


Th6ZnRh10 | GGA-PBE | relaxed

Structure (CIF):
```
data_Th6ZnRh10
_chemical_formula_sum 'Th6 Zn1 Rh10'
_space_group_name_H-M_alt 'P -3 1 m'
_space_group_IT_number 162
_space_group_name_Hall '-P 3 2'
_cell_length_a 8.3660
_cell_length_b 8.3660
_cell_length_c 5.8379
_cell_angle_alpha 90.00
_cell_angle_beta 90.00
_cell_angle_gamma 120.00
loop_
_atom_site_label
_atom_site_type_symbol
_atom_site_fract_x
_atom_site_fract_y
_atom_site_fract_z
Th1 Th 0.0000 0.3477 0.2635
Zn1 Zn 0.0000 0.0000 0.0000
Rh1 Rh 0.0000 0.3191 0.7651
Rh2 Rh 0.3333 0.6667 0.0000
Rh3 Rh 0.3333 0.6667 0.5000
```

Results
Magnetization   0.00 μB per cell
Energy of formation   -0.71 eV per atom
D(E_F)   14.548 states/eV/f.u.
DFT total energy   -7.73 eV/atom


Repeat the fifth record exactly.
Th3Zn2Rh5 | GGA-PBE | relaxed

Structure (CIF):
```
data_Th3Zn2Rh5
_chemical_formula_sum 'Th6 Zn4 Rh10'
_space_group_name_H-M_alt 'P 4/m b m'
_space_group_IT_number 127
_space_group_name_Hall '-P 4 2ab'
_cell_length_a 10.098
_cell_length_b 10.098
_cell_length_c 3.761
_cell_angle_alpha 90.00
_cell_angle_beta 90.00
_cell_angle_gamma 90.00
loop_
_atom_site_label
_atom_site_type_symbol
_atom_site_fract_x
_atom_site_fract_y
_atom_site_fract_z
Th1 Th 0.000 0.000 0.000
Th2 Th 0.172 0.328 0.000
Zn1 Zn 0.122 0.622 0.000
Rh1 Rh 0.000 0.500 0.500
Rh2 Rh 0.075 0.790 0.500
```

Results
Magnetization   0.00 μB per cell
Energy of formation   -0.73 eV per atom
D(E_F)   4.392 states/eV/f.u.
DFT total energy   -6.89 eV/atom